# NiRuPt2, optimized geometry, DFT PBE-GGA
data_NiRuPt2
_space_group_name_H-M_alt 'P 4 m m'
_space_group_IT_number 99
_space_group_name_Hall 'P 4 -2'
_cell_length_a 2.727
_cell_length_b 2.727
_cell_length_c 7.574
_cell_angle_alpha 90.00
_cell_angle_beta 90.00
_cell_angle_gamma 90.00
loop_
_atom_site_label
_atom_site_type_symbol
_atom_site_fract_x
_atom_site_fract_y
_atom_site_fract_z
_atom_site_occupancy
Ni1 Ni 0.000 0.000 0.000 1
Ru1 Ru 0.500 0.500 0.778 1
Pt1 Pt 0.000 0.000 0.521 1
Pt2 Pt 0.500 0.500 0.241 1
# formation enthalpy at 0 K	1	meV per atom
# total magnetic moment	0.20	μB/f.u.
# uncorrected energy	-6.783	eV/atom
# E above lowest polymorph	2.0	kJ/mol of atoms
# DOS at the Fermi energy	5.77	states/eV/f.u.